DFT (PBE) results for an optimized crystal structure of KNa2H.

Properties
**Calculated volume**: 143.4 Å³/f.u.
**Offset from the most stable computed form**: 0 meV/atom
**Crystal system**: cubic
**Fermi-level density of states**: 3.11 states/eV/f.u.

Unit cell a=10.4693 b=10.4693 c=10.4693 alpha=90.00 beta=90.00 gamma=90.00
Space group Fd-3m (No. 227, origin choice 2)
Symmetry-distinct sites (fractional):
K1 0.1250 0.1250 0.1250 x8
Na1 0.0000 0.0000 0.5000 x16
H1 0.1250 0.1250 0.6250 x8